[1]
Below is a geometry-optimized TiReSeN2 structure, with properties calculated at the PBEsol level. Values from VASP.

Cell and atoms, written as Quantum ESPRESSO input:
```
&SYSTEM
  ibrav = 0, nat = 5, ntyp = 4
/
ATOMIC_SPECIES
Se 78.96 Se.upf
Re 186.21 Re.upf
Ti 47.87 Ti.upf
N 14.01 N.upf
ATOMIC_POSITIONS crystal
Se 0.000 0.000 0.500
Re 0.500 0.500 0.500
Ti 0.000 0.000 0.000
N 0.000 0.500 0.000
N 0.500 0.000 0.000
CELL_PARAMETERS angstrom
-0.473 0.008 3.785
-2.475 -2.886 -0.303
3.876 -3.376 0.492
```

**D(E_F)**: 3.34 states/eV/f.u.
**Calculated volume**: 75.1 Å³/f.u.
**Raw formation energy**: 22.5 kcal/mol of atoms

[2]
Below is a geometry-optimized K2HoPCO7 structure, with properties calculated at the PBEsol level. Values from VASP.

Cell and atoms, written as Quantum ESPRESSO input:
```
&SYSTEM
  ibrav = 0, nat = 24, ntyp = 5
/
ATOMIC_SPECIES
O 16.00 O.upf
Ho 164.93 Ho.upf
P 30.97 P.upf
K 39.10 K.upf
C 12.01 C.upf
ATOMIC_POSITIONS crystal
O 0.706 0.250 0.980
O 0.178 0.250 0.421
O 0.438 0.750 0.444
Ho 0.794 0.250 0.377
O 0.795 0.568 0.360
O 0.435 0.750 0.808
P 0.713 0.750 0.434
K 0.745 0.017 0.783
K 0.255 0.983 0.217
O 0.950 0.250 0.162
O 0.795 0.932 0.360
K 0.745 0.483 0.783
P 0.287 0.250 0.566
K 0.255 0.517 0.217
C 0.741 0.250 0.105
C 0.259 0.750 0.895
O 0.562 0.250 0.556
O 0.050 0.750 0.838
Ho 0.206 0.750 0.623
O 0.565 0.250 0.192
O 0.294 0.750 0.020
O 0.822 0.750 0.579
O 0.205 0.068 0.640
O 0.205 0.432 0.640
CELL_PARAMETERS angstrom
-2.685 -0.712 4.938
-4.259 -4.730 -2.997
6.388 -7.235 2.341
```

**D(E_F)**: 0.00 states/eV/f.u.
**Calculated volume**: 197.9 Å³/f.u.
**Raw formation energy**: -55.5 kcal/mol of atoms

[3]
Below is a geometry-optimized TaSe2Br structure, with properties calculated at the PBEsol level. Values from VASP.

Cell and atoms, written as Quantum ESPRESSO input:
```
&SYSTEM
  ibrav = 0, nat = 4, ntyp = 3
/
ATOMIC_SPECIES
Se 78.96 Se.upf
Br 79.90 Br.upf
Ta 180.95 Ta.upf
ATOMIC_POSITIONS crystal
Se 0.750 0.500 0.250
Se 0.250 0.500 0.750
Br 0.000 0.000 0.000
Ta 0.500 0.000 0.500
CELL_PARAMETERS angstrom
4.744 0.000 0.000
-2.372 4.052 -0.139
0.000 -2.641 3.941
```

**D(E_F)**: 2.33 states/eV/f.u.
**Calculated volume**: 74.0 Å³/f.u.
**Raw formation energy**: 4.3 kcal/mol of atoms

[4]
Below is a geometry-optimized Na2ZnSiO structure, with properties calculated at the PBEsol level. Values from VASP.

Cell and atoms, written as Quantum ESPRESSO input:
```
&SYSTEM
  ibrav = 0, nat = 5, ntyp = 4
/
ATOMIC_SPECIES
Na 22.99 Na.upf
Si 28.09 Si.upf
O 16.00 O.upf
Zn 65.41 Zn.upf
ATOMIC_POSITIONS crystal
Na 0.000 0.000 0.500
Na 0.000 0.500 0.000
Si 0.500 0.500 0.500
O 0.500 0.000 0.000
Zn 0.000 0.000 0.000
CELL_PARAMETERS angstrom
3.437 0.000 0.000
0.000 5.741 0.000
0.000 0.000 5.741
```

**D(E_F)**: 1.90 states/eV/f.u.
**Calculated volume**: 113.3 Å³/f.u.
**Raw formation energy**: 0.7 kcal/mol of atoms

[5]
Below is a geometry-optimized KCoIr structure, with properties calculated at the PBEsol level. Values from VASP.

Cell and atoms, written as Quantum ESPRESSO input:
```
&SYSTEM
  ibrav = 0, nat = 3, ntyp = 3
/
ATOMIC_SPECIES
K 39.10 K.upf
Co 58.93 Co.upf
Ir 192.22 Ir.upf
ATOMIC_POSITIONS crystal
K 0.500 0.500 0.500
Co 0.250 0.250 0.250
Ir 0.000 0.000 0.000
CELL_PARAMETERS angstrom
-2.382 -2.278 -2.833
-1.526 -3.919 1.099
-4.254 -0.560 0.693
```

**D(E_F)**: 2.21 states/eV/f.u.
**Calculated volume**: 58.1 Å³/f.u.
**Formation energy**: 1498 meV/atom

[6]
Below is a geometry-optimized Ho2H4CO7 structure, with properties calculated at the PBEsol level. Values from VASP.

Cell and atoms, written as Quantum ESPRESSO input:
```
&SYSTEM
  ibrav = 0, nat = 56, ntyp = 4
/
ATOMIC_SPECIES
H 1.01 H.upf
O 16.00 O.upf
Ho 164.93 Ho.upf
C 12.01 C.upf
ATOMIC_POSITIONS crystal
H 0.496 0.825 0.698
O 0.391 0.305 0.124
H 0.504 0.175 0.302
H 0.967 0.816 0.945
O 0.546 0.324 0.554
O 0.383 0.963 0.853
O 0.512 0.694 0.235
Ho 0.747 0.411 0.436
Ho 0.741 0.421 0.183
O 0.967 0.332 0.810
H 0.996 0.175 0.802
O 0.770 0.035 0.415
O 0.046 0.676 0.946
H 0.467 0.184 0.555
Ho 0.753 0.411 0.936
O 0.988 0.694 0.735
O 0.954 0.324 0.054
C 0.578 0.903 0.882
O 0.609 0.695 0.876
C 0.422 0.097 0.118
Ho 0.759 0.421 0.683
Ho 0.259 0.579 0.817
O 0.109 0.305 0.624
H 0.533 0.816 0.445
O 0.467 0.668 0.690
Ho 0.247 0.589 0.064
H 0.453 0.170 0.789
H 0.047 0.170 0.289
O 0.454 0.676 0.446
O 0.488 0.306 0.765
O 0.631 0.622 0.060
C 0.922 0.903 0.382
H 0.547 0.830 0.211
O 0.230 0.965 0.585
O 0.270 0.965 0.085
O 0.883 0.037 0.647
O 0.369 0.378 0.940
O 0.131 0.378 0.440
H 0.334 0.224 0.920
O 0.533 0.332 0.310
O 0.869 0.622 0.560
H 0.033 0.184 0.055
Ho 0.253 0.589 0.564
O 0.117 0.963 0.353
O 0.033 0.668 0.190
H 0.004 0.825 0.198
O 0.617 0.037 0.147
O 0.012 0.306 0.265
H 0.666 0.776 0.080
H 0.834 0.776 0.580
O 0.891 0.695 0.376
H 0.166 0.224 0.420
C 0.078 0.097 0.618
Ho 0.241 0.579 0.317
O 0.730 0.035 0.915
H 0.953 0.830 0.711
CELL_PARAMETERS angstrom
-2.477 0.144 5.361
-3.999 -4.417 -1.729
10.877 -9.298 5.276
```

**D(E_F)**: 0.00 states/eV/f.u.
**Calculated volume**: 138.7 Å³/f.u.
**DFT total energy**: -7.09 eV per atom

[7]
Below is a geometry-optimized K3Rh structure, with properties calculated at the PBEsol level. Values from VASP.

Cell and atoms, written as Quantum ESPRESSO input:
```
&SYSTEM
  ibrav = 0, nat = 4, ntyp = 2
/
ATOMIC_SPECIES
K 39.10 K.upf
Rh 102.91 Rh.upf
ATOMIC_POSITIONS crystal
K 0.500 0.000 0.500
K 0.000 0.500 0.500
Rh 0.000 0.000 0.000
K 0.500 0.500 0.000
CELL_PARAMETERS angstrom
5.103 0.000 0.000
0.000 5.103 0.000
0.000 0.000 5.103
```

**D(E_F)**: 4.34 states/eV/f.u.
**Calculated volume**: 132.9 Å³/f.u.
**Formation energy**: 765 meV/atom

[8]
Below is a geometry-optimized SmZnAgAs2 structure, with properties calculated at the PBEsol level. Values from VASP.

Cell and atoms, written as Quantum ESPRESSO input:
```
&SYSTEM
  ibrav = 0, nat = 5, ntyp = 4
/
ATOMIC_SPECIES
As 74.92 As.upf
Ag 107.87 Ag.upf
Zn 65.41 Zn.upf
Sm 150.36 Sm.upf
ATOMIC_POSITIONS crystal
As 0.333 0.667 0.243
Ag 0.667 0.333 0.364
As 0.667 0.333 0.755
Zn 0.333 0.667 0.625
Sm 0.000 0.000 0.013
CELL_PARAMETERS angstrom
-4.048 -1.112 0.415
2.537 0.023 3.370
-1.657 6.481 1.202
```

**D(E_F)**: 0.02 states/eV/f.u.
**Calculated volume**: 104.8 Å³/f.u.
**Formation energy**: -634 meV/atom

- Which formula does entry 7 have?
  K3Rh

- Which value of D(E_F) does entry 5 give?
  2.21 states/eV/f.u.